Below is RbVAg2F after structural relaxation, with properties calculated at the GGA+U level.

extended XYZ file:
```
5
Lattice="5.9840 0.0000 0.0000 0.0000 5.9840 0.0000 0.0000 0.0000 6.9266" Properties=species:S:1:pos:R:3 pbc="T T T"
Rb 0.0000 0.0000 0.0000
V 0.0000 0.0000 3.4633
Ag 0.0000 2.9920 0.0000
Ag 2.9920 0.0000 0.0000
F 2.9920 2.9920 3.4633
```

Values from the calculation:
crystal system	tetragonal
size of the total moment	0.69	μB per atom
total energy	-9.63	eV per formula unit